[1]
The following is a PBE calculation of a geometry-optimized CaIn2Tc structure, from Alexandria via LeMat-Bulk.

Calculated volume (Å³ per cell): 336.6
Total energy (eV per atom): -4.327
Symmetry: No. 225

The structure in extended XYZ format:
```
16
Lattice="6.956 0.000 0.000 0.000 6.956 0.000 0.000 0.000 6.956" Properties=species:S:1:pos:R:3 pbc="T T T"
Ca 0.000 0.000 0.000
Ca 0.000 3.478 3.478
Ca 3.478 0.000 3.478
Ca 3.478 3.478 0.000
In 1.739 1.739 1.739
In 1.739 1.739 5.217
In 1.739 5.217 1.739
In 1.739 5.217 5.217
In 5.217 1.739 1.739
In 5.217 1.739 5.217
In 5.217 5.217 1.739
In 5.217 5.217 5.217
Tc 0.000 0.000 3.478
Tc 0.000 3.478 0.000
Tc 3.478 0.000 0.000
Tc 3.478 3.478 3.478
```


[2]
The following is a PBE calculation of a geometry-optimized NdHo5Er12 structure, from Alexandria via LeMat-Bulk.

Calculated volume (Å³ per cell): 555.1
Total energy (eV per atom): -4.556
Symmetry: No. 2

The structure in extended XYZ format:
```
18
Lattice="6.101 0.000 0.000 0.007 10.550 0.000 3.031 5.270 8.624" Properties=species:S:1:pos:R:3 pbc="T T T"
Nd 0.000 0.000 0.000
Ho 1.013 5.273 2.874
Ho 8.125 10.546 5.750
Ho 4.063 10.549 2.887
Ho 3.054 5.275 0.000
Ho 5.076 5.271 5.737
Er 7.113 1.766 2.886
Er 2.025 14.054 5.738
Er 3.034 8.797 8.624
Er 2.021 7.038 5.738
Er 7.118 8.781 2.887
Er 6.105 7.023 0.000
Er 5.071 8.789 5.748
Er 5.073 12.304 5.749
Er 6.083 7.042 8.624
Er 3.055 8.777 0.000
Er 4.065 3.516 2.875
Er 4.068 7.031 2.876
```


[3]
The following is a PBE calculation of a geometry-optimized La2PmBe structure, from Alexandria via LeMat-Bulk.

Calculated volume (Å³ per cell): 390.6
Total energy (eV per atom): -3.881
Symmetry: No. 166

The structure in extended XYZ format:
```
12
Lattice="3.547 0.000 0.000 -1.774 3.072 0.000 0.000 0.000 35.843" Properties=species:S:1:pos:R:3 pbc="T T T"
La 0.000 0.000 3.000
La 0.000 0.000 32.843
La 0.000 2.048 20.895
La 0.000 2.048 26.895
La 1.774 1.024 8.948
La 1.774 1.024 14.948
Pm 0.000 0.000 17.921
Pm 0.000 2.048 5.974
Pm 1.774 1.024 29.869
Be 0.000 0.000 0.000
Be 0.000 2.048 23.895
Be 1.774 1.024 11.948
```


[4]
The following is a PBE calculation of a geometry-optimized CaZnW3 structure, from Alexandria via LeMat-Bulk.

Calculated volume (Å³ per cell): 99.7
Total energy (eV per atom): -5.261
Symmetry: No. 221

The structure in extended XYZ format:
```
5
Lattice="4.638 0.000 0.000 0.000 4.638 0.000 0.000 0.000 4.638" Properties=species:S:1:pos:R:3 pbc="T T T"
Ca 0.000 0.000 0.000
Zn 2.319 2.319 2.319
W 0.000 0.000 2.319
W 0.000 2.319 0.000
W 2.319 0.000 0.000
```


[5]
The following is a PBE calculation of a geometry-optimized Hf2TlSnN structure, from Alexandria via LeMat-Bulk.

Calculated volume (Å³ per cell): 121.3
Formation energy without anion corrections (eV/atom): 1.25
Total energy (eV per atom): -5.675
Symmetry: No. 123

The structure in extended XYZ format:
```
5
Lattice="5.513 0.000 0.000 0.000 5.513 0.000 0.000 0.000 3.990" Properties=species:S:1:pos:R:3 pbc="T T T"
Hf 0.000 2.757 0.000
Hf 2.757 0.000 0.000
Tl 0.000 0.000 1.995
Sn 2.757 2.757 0.000
N 2.757 2.757 1.995
```


[6]
The following is a PBE calculation of a geometry-optimized Te2IrPbN structure, from Alexandria via LeMat-Bulk.

Calculated volume (Å³ per cell): 124.5
Formation energy without anion corrections (eV/atom): 0.17
Total energy (eV per atom): -5.265
Symmetry: No. 123

The structure in extended XYZ format:
```
5
Lattice="5.787 0.000 0.000 0.000 5.787 0.000 0.000 0.000 3.719" Properties=species:S:1:pos:R:3 pbc="T T T"
Te 0.000 2.893 0.000
Te 2.893 0.000 0.000
Ir 0.000 0.000 0.000
Pb 2.893 2.893 1.859
N 0.000 0.000 1.859
```


Q: Among the records above, which one has the highest calculated volume?
A: NdHo5Er12


Q: The highest calculated volume belongs to which entry?
A: NdHo5Er12


Copy entry 4 word for word.
The following is a PBE calculation of a geometry-optimized CaZnW3 structure, from Alexandria via LeMat-Bulk.

Calculated volume (Å³ per cell): 99.7
Total energy (eV per atom): -5.261
Symmetry: No. 221

The structure in extended XYZ format:
```
5
Lattice="4.638 0.000 0.000 0.000 4.638 0.000 0.000 0.000 4.638" Properties=species:S:1:pos:R:3 pbc="T T T"
Ca 0.000 0.000 0.000
Zn 2.319 2.319 2.319
W 0.000 0.000 2.319
W 0.000 2.319 0.000
W 2.319 0.000 0.000
```